! Hf2SiTe GGA-PBEsol relaxed; values from VASP
! E above lowest polymorph in meV/atom: 0
! Magnetic moment in μB per atom: 0.0004
! E_form (uncorrected) in meV per atom: -350
! Space group: Fm-3m (225)
&SYSTEM
  ibrav = 0, nat = 4, ntyp = 3
/
ATOMIC_SPECIES
Hf 178.49 Hf.upf
Si 28.09 Si.upf
Te 127.60 Te.upf
CELL_PARAMETERS angstrom
0.000 3.385 3.385
3.385 0.000 3.385
3.385 3.385 0.000
ATOMIC_POSITIONS crystal
Hf 0.250 0.250 0.250
Hf 0.750 0.750 0.750
Si 0.000 0.000 0.000
Te 0.500 0.500 0.500

=====

! Hf2SiTe GGA-PBEsol relaxed; values from VASP
! E above lowest polymorph in meV/atom: 589
! Magnetic moment in μB per atom: 0.0000
! E_form (uncorrected) in meV per atom: 238
! Space group: I-42d (122)
&SYSTEM
  ibrav = 0, nat = 8, ntyp = 3
/
ATOMIC_SPECIES
Hf 178.49 Hf.upf
Si 28.09 Si.upf
Te 127.60 Te.upf
CELL_PARAMETERS angstrom
-3.034 3.034 6.251
3.034 -3.034 6.251
3.034 3.034 -6.251
ATOMIC_POSITIONS crystal
Hf 0.083 0.625 0.958
Hf 0.375 0.333 0.458
Hf 0.667 0.125 0.042
Hf 0.875 0.917 0.542
Si 0.000 0.000 0.000
Si 0.750 0.250 0.500
Te 0.250 0.750 0.500
Te 0.500 0.500 0.000

=====

! HfTi2Si2 GGA-PBEsol relaxed; values from VASP
! Magnetic moment in μB per atom: 0.0001
! E_form (uncorrected) in meV per atom: -814
! Space group: P4/mbm (127)
&SYSTEM
  ibrav = 0, nat = 10, ntyp = 3
/
ATOMIC_SPECIES
Hf 178.49 Hf.upf
Ti 47.87 Ti.upf
Si 28.09 Si.upf
CELL_PARAMETERS angstrom
6.850 0.000 0.000
0.000 6.850 0.000
0.000 0.000 3.332
ATOMIC_POSITIONS crystal
Hf 0.000 0.000 0.000
Hf 0.500 0.500 0.000
Ti 0.172 0.328 0.500
Ti 0.328 0.828 0.500
Ti 0.672 0.172 0.500
Ti 0.828 0.672 0.500
Si 0.124 0.624 0.000
Si 0.376 0.124 0.000
Si 0.624 0.876 0.000
Si 0.876 0.376 0.000

=====

! HfTl2Si GGA-PBEsol relaxed; values from VASP
! Magnetic moment in μB per atom: 0.0000
! E_form (uncorrected) in meV per atom: 585
! Space group: Fm-3m (225)
&SYSTEM
  ibrav = 0, nat = 4, ntyp = 3
/
ATOMIC_SPECIES
Hf 178.49 Hf.upf
Tl 204.38 Tl.upf
Si 28.09 Si.upf
CELL_PARAMETERS angstrom
0.000 3.547 3.547
3.547 0.000 3.547
3.547 3.547 0.000
ATOMIC_POSITIONS crystal
Hf 0.000 0.000 0.000
Tl 0.250 0.250 0.250
Tl 0.750 0.750 0.750
Si 0.500 0.500 0.500

=====

! HfVSi GGA-PBEsol relaxed; values from VASP
! Magnetic moment in μB per atom: 0.0000
! E_form (uncorrected) in meV per atom: -777
! Space group: P4/nmm (129)
&SYSTEM
  ibrav = 0, nat = 6, ntyp = 3
/
ATOMIC_SPECIES
Hf 178.49 Hf.upf
V 50.94 V.upf
Si 28.09 Si.upf
CELL_PARAMETERS angstrom
3.619 0.000 0.000
0.000 3.619 0.000
0.000 0.000 7.109
ATOMIC_POSITIONS crystal
Hf 0.250 0.250 0.139
Hf 0.750 0.750 0.861
V 0.250 0.750 0.500
V 0.750 0.250 0.500
Si 0.250 0.250 0.748
Si 0.750 0.750 0.252

=====

! HfSi2W GGA-PBEsol relaxed; values from VASP
! Magnetic moment in μB per atom: 0.0000
! E_form (uncorrected) in meV per atom: 232
! Space group: I-42d (122)
&SYSTEM
  ibrav = 0, nat = 8, ntyp = 3
/
ATOMIC_SPECIES
Hf 178.49 Hf.upf
Si 28.09 Si.upf
W 183.84 W.upf
CELL_PARAMETERS angstrom
-1.922 1.922 9.208
1.922 -1.922 9.208
1.922 1.922 -9.208
ATOMIC_POSITIONS crystal
Hf 0.000 0.000 0.000
Hf 0.750 0.250 0.500
Si 0.151 0.625 0.026
Si 0.375 0.401 0.526
Si 0.599 0.125 0.974
Si 0.875 0.849 0.474
W 0.250 0.750 0.500
W 0.500 0.500 0.000

=====

! HfSi3W GGA-PBEsol relaxed; values from VASP
! Magnetic moment in μB per atom: 0.0000
! E_form (uncorrected) in meV per atom: 758
! Space group: Pm-3m (221)
&SYSTEM
  ibrav = 0, nat = 5, ntyp = 3
/
ATOMIC_SPECIES
Hf 178.49 Hf.upf
Si 28.09 Si.upf
W 183.84 W.upf
CELL_PARAMETERS angstrom
4.627 0.000 0.000
0.000 4.627 0.000
0.000 0.000 4.627
ATOMIC_POSITIONS crystal
Hf 0.000 0.000 0.000
Si 0.000 0.500 0.500
Si 0.500 0.000 0.500
Si 0.500 0.500 0.000
W 0.500 0.500 0.500

=====

! HfSiW GGA-PBEsol relaxed; values from VASP
! Magnetic moment in μB per atom: 0.0000
! E_form (uncorrected) in meV per atom: -673
! Space group: Pnma (62)
&SYSTEM
  ibrav = 0, nat = 12, ntyp = 3
/
ATOMIC_SPECIES
Hf 178.49 Hf.upf
Si 28.09 Si.upf
W 183.84 W.upf
CELL_PARAMETERS angstrom
6.884 0.000 0.000
0.000 3.470 0.000
0.000 0.000 8.125
ATOMIC_POSITIONS crystal
Hf 0.042 0.250 0.166
Hf 0.458 0.750 0.666
Hf 0.542 0.250 0.334
Hf 0.958 0.750 0.834
Si 0.244 0.750 0.360
Si 0.256 0.250 0.860
Si 0.744 0.750 0.140
Si 0.756 0.250 0.640
W 0.133 0.250 0.561
W 0.367 0.750 0.061
W 0.633 0.250 0.939
W 0.867 0.750 0.439

=====

! Hf2ZrSi2 GGA-PBEsol relaxed; values from VASP
! Magnetic moment in μB per atom: 0.0000
! E_form (uncorrected) in meV per atom: -882
! Space group: P4/mbm (127)
&SYSTEM
  ibrav = 0, nat = 10, ntyp = 3
/
ATOMIC_SPECIES
Hf 178.49 Hf.upf
Zr 91.22 Zr.upf
Si 28.09 Si.upf
CELL_PARAMETERS angstrom
7.022 0.000 0.000
0.000 7.022 0.000
0.000 0.000 3.595
ATOMIC_POSITIONS crystal
Hf 0.174 0.326 0.000
Hf 0.326 0.826 0.000
Hf 0.674 0.174 0.000
Hf 0.826 0.674 0.000
Zr 0.000 0.000 0.500
Zr 0.500 0.500 0.500
Si 0.123 0.623 0.500
Si 0.377 0.123 0.500
Si 0.623 0.877 0.500
Si 0.877 0.377 0.500

=====

! HfZr3Si GGA-PBEsol relaxed; values from VASP
! Magnetic moment in μB per atom: 0.0012
! E_form (uncorrected) in meV per atom: 248
! Space group: Pm-3m (221)
&SYSTEM
  ibrav = 0, nat = 5, ntyp = 3
/
ATOMIC_SPECIES
Hf 178.49 Hf.upf
Zr 91.22 Zr.upf
Si 28.09 Si.upf
CELL_PARAMETERS angstrom
4.913 0.000 0.000
0.000 4.913 0.000
0.000 0.000 4.913
ATOMIC_POSITIONS crystal
Hf 0.000 0.000 0.000
Zr 0.000 0.500 0.500
Zr 0.500 0.000 0.500
Zr 0.500 0.500 0.000
Si 0.500 0.500 0.500

=====

! HfZr2Si2 GGA-PBEsol relaxed; values from VASP
! Magnetic moment in μB per atom: 0.0000
! E_form (uncorrected) in meV per atom: -936
! Space group: P4/mbm (127)
&SYSTEM
  ibrav = 0, nat = 10, ntyp = 3
/
ATOMIC_SPECIES
Hf 178.49 Hf.upf
Zr 91.22 Zr.upf
Si 28.09 Si.upf
CELL_PARAMETERS angstrom
7.016 0.000 0.000
0.000 7.016 0.000
0.000 0.000 3.647
ATOMIC_POSITIONS crystal
Hf 0.000 0.000 0.000
Hf 0.500 0.500 0.000
Zr 0.174 0.326 0.500
Zr 0.326 0.826 0.500
Zr 0.674 0.174 0.500
Zr 0.826 0.674 0.500
Si 0.123 0.623 0.000
Si 0.377 0.123 0.000
Si 0.623 0.877 0.000
Si 0.877 0.377 0.000

=====

! HfSn2 GGA-PBEsol relaxed; values from VASP
! Magnetic moment in μB per atom: 0.0000
! Space group: P6_222 (180)
! Formation enthalpy at 0 K in kJ per mole of atoms: -34.2
&SYSTEM
  ibrav = 0, nat = 9, ntyp = 2
/
ATOMIC_SPECIES
Hf 178.49 Hf.upf
Sn 118.71 Sn.upf
CELL_PARAMETERS angstrom
5.444 0.000 0.000
-2.722 4.714 0.000
0.000 0.000 7.588
ATOMIC_POSITIONS crystal
Hf 0.000 0.500 0.167
Hf 0.500 0.000 0.500
Hf 0.500 0.500 0.833
Sn 0.168 0.335 0.500
Sn 0.168 0.832 0.833
Sn 0.335 0.168 0.167
Sn 0.665 0.832 0.167
Sn 0.832 0.168 0.833
Sn 0.832 0.665 0.500

=====

! HfSn GGA-PBEsol relaxed; values from VASP
! Magnetic moment in μB per atom: 0.0000
! Space group: P2_13 (198)
! Formation enthalpy at 0 K in kJ per mole of atoms: -32.8
&SYSTEM
  ibrav = 0, nat = 8, ntyp = 2
/
ATOMIC_SPECIES
Hf 178.49 Hf.upf
Sn 118.71 Sn.upf
CELL_PARAMETERS angstrom
5.584 0.000 0.000
0.000 5.584 0.000
0.000 0.000 5.584
ATOMIC_POSITIONS crystal
Hf 0.144 0.144 0.144
Hf 0.356 0.856 0.644
Hf 0.644 0.356 0.856
Hf 0.856 0.644 0.356
Sn 0.156 0.344 0.656
Sn 0.344 0.656 0.156
Sn 0.656 0.156 0.344
Sn 0.844 0.844 0.844

=====

! Hf3SnTe GGA-PBEsol relaxed; values from VASP
! Magnetic moment in μB per atom: 0.0002
! E_form (uncorrected) in meV per atom: 1034
! Space group: Pm-3m (221)
&SYSTEM
  ibrav = 0, nat = 5, ntyp = 3
/
ATOMIC_SPECIES
Hf 178.49 Hf.upf
Sn 118.71 Sn.upf
Te 127.60 Te.upf
CELL_PARAMETERS angstrom
5.197 0.000 0.000
0.000 5.197 0.000
0.000 0.000 5.197
ATOMIC_POSITIONS crystal
Hf 0.000 0.000 0.500
Hf 0.000 0.500 0.000
Hf 0.500 0.000 0.000
Sn 0.000 0.000 0.000
Te 0.500 0.500 0.500

=====

! HfTi2Sn2 GGA-PBEsol relaxed; values from VASP
! Magnetic moment in μB per atom: 0.0000
! Space group: P4/mbm (127)
! Formation enthalpy at 0 K in kJ per mole of atoms: -32.1
&SYSTEM
  ibrav = 0, nat = 10, ntyp = 3
/
ATOMIC_SPECIES
Hf 178.49 Hf.upf
Ti 47.87 Ti.upf
Sn 118.71 Sn.upf
CELL_PARAMETERS angstrom
7.445 0.000 0.000
0.000 7.445 0.000
0.000 0.000 3.520
ATOMIC_POSITIONS crystal
Hf 0.000 0.000 0.000
Hf 0.500 0.500 0.000
Ti 0.165 0.335 0.500
Ti 0.335 0.835 0.500
Ti 0.665 0.165 0.500
Ti 0.835 0.665 0.500
Sn 0.136 0.636 0.000
Sn 0.364 0.136 0.000
Sn 0.636 0.864 0.000
Sn 0.864 0.364 0.000

=====

! YHfSn3 GGA-PBEsol relaxed; values from VASP
! Magnetic moment in μB per atom: 0.0000
! Space group: Pm-3m (221)
! Formation enthalpy at 0 K in kJ per mole of atoms: 16.6
&SYSTEM
  ibrav = 0, nat = 5, ntyp = 3
/
ATOMIC_SPECIES
Y 88.91 Y.upf
Hf 178.49 Hf.upf
Sn 118.71 Sn.upf
CELL_PARAMETERS angstrom
5.354 0.000 0.000
0.000 5.354 0.000
0.000 0.000 5.354
ATOMIC_POSITIONS crystal
Y 0.000 0.000 0.000
Hf 0.500 0.500 0.500
Sn 0.000 0.500 0.500
Sn 0.500 0.000 0.500
Sn 0.500 0.500 0.000

=====

! HfZn3Sn GGA-PBEsol relaxed; values from VASP
! Magnetic moment in μB per atom: 0.0002
! Space group: Pm-3m (221)
! Formation enthalpy at 0 K in kJ per mole of atoms: 94.2
&SYSTEM
  ibrav = 0, nat = 5, ntyp = 3
/
ATOMIC_SPECIES
Hf 178.49 Hf.upf
Zn 65.41 Zn.upf
Sn 118.71 Sn.upf
CELL_PARAMETERS angstrom
5.059 0.000 0.000
0.000 5.059 0.000
0.000 0.000 5.059
ATOMIC_POSITIONS crystal
Hf 0.000 0.000 0.000
Zn 0.000 0.000 0.500
Zn 0.000 0.500 0.000
Zn 0.500 0.000 0.000
Sn 0.500 0.500 0.500

=====

! Hf3ZrSn GGA-PBEsol relaxed; values from VASP
! E above lowest polymorph in meV/atom: 28
! Magnetic moment in μB per atom: 0.0005
! Space group: Pm-3m (221)
! Formation enthalpy at 0 K in kJ per mole of atoms: 106.7
&SYSTEM
  ibrav = 0, nat = 5, ntyp = 3
/
ATOMIC_SPECIES
Hf 178.49 Hf.upf
Zr 91.22 Zr.upf
Sn 118.71 Sn.upf
CELL_PARAMETERS angstrom
5.024 0.000 0.000
0.000 5.024 0.000
0.000 0.000 5.024
ATOMIC_POSITIONS crystal
Hf 0.000 0.000 0.500
Hf 0.000 0.500 0.000
Hf 0.500 0.000 0.000
Zr 0.000 0.000 0.000
Sn 0.500 0.500 0.500

=====

! Hf2ZrSn2 GGA-PBEsol relaxed; values from VASP
! Magnetic moment in μB per atom: 0.0000
! Space group: P4/mbm (127)
! Formation enthalpy at 0 K in kJ per mole of atoms: -41.3
&SYSTEM
  ibrav = 0, nat = 10, ntyp = 3
/
ATOMIC_SPECIES
Hf 178.49 Hf.upf
Zr 91.22 Zr.upf
Sn 118.71 Sn.upf
CELL_PARAMETERS angstrom
7.562 0.000 0.000
0.000 7.562 0.000
0.000 0.000 3.779
ATOMIC_POSITIONS crystal
Hf 0.167 0.333 0.000
Hf 0.333 0.833 0.000
Hf 0.667 0.167 0.000
Hf 0.833 0.667 0.000
Zr 0.000 0.000 0.500
Zr 0.500 0.500 0.500
Sn 0.135 0.635 0.500
Sn 0.365 0.135 0.500
Sn 0.635 0.865 0.500
Sn 0.865 0.365 0.500

=====

! HfZr2Sn2 GGA-PBEsol relaxed; values from VASP
! Magnetic moment in μB per atom: 0.0000
! Space group: P4/mbm (127)
! Formation enthalpy at 0 K in kJ per mole of atoms: -50.5
&SYSTEM
  ibrav = 0, nat = 10, ntyp = 3
/
ATOMIC_SPECIES
Hf 178.49 Hf.upf
Zr 91.22 Zr.upf
Sn 118.71 Sn.upf
CELL_PARAMETERS angstrom
7.555 0.000 0.000
0.000 7.555 0.000
0.000 0.000 3.822
ATOMIC_POSITIONS crystal
Hf 0.000 0.000 0.000
Hf 0.500 0.500 0.000
Zr 0.167 0.333 0.500
Zr 0.333 0.833 0.500
Zr 0.667 0.167 0.500
Zr 0.833 0.667 0.500
Sn 0.135 0.635 0.000
Sn 0.365 0.135 0.000
Sn 0.635 0.865 0.000
Sn 0.865 0.365 0.000

=====

We obtain total energy values of -31.68, -58.65, -85.42, -19.17, -56.43, -69.75, -37.76, -128.30, -91.99, -42.28, -89.71, -60.26, -61.77, -34.12, -74.65, -29.24, -14.63, -39.33, -81.50, -79.63 eV/cell for the records listed above, in that order.